No. 1
# PBE CaPmTeS, optimized geometry
# E = -5.26 eV per atom
# calculated volume = 108.9 Å³ per cell
# size of the total moment = 0.0 μB/cell
# formation energy from raw total energies = -1.752 eV per atom
data_CaPmTeS
_chemical_formula_sum 'Ca1 Pm1 Te1 S1'
_cell_length_a 4.1923
_cell_length_b 4.1923
_cell_length_c 7.5562
_cell_angle_alpha 73.89
_cell_angle_beta 73.89
_cell_angle_gamma 60.00
_space_group_name_H-M_alt 'P 1'
_space_group_IT_number 1
loop_
_space_group_symop_operation_xyz
'x,y,z'
loop_
_atom_site_label
_atom_site_fract_x
_atom_site_fract_y
_atom_site_fract_z
Ca1 0.9888 0.9888 0.0337
Pm1 0.5101 0.5101 0.4697
Te1 0.7496 0.7496 0.7512
S1 0.2516 0.2516 0.2454

=====

No. 2
# PBE NaTlSb2Au, optimized geometry
# E = -2.89 eV per atom
# calculated volume = 172.4 Å³ per cell
# size of the total moment = 0.0 μB/cell
# formation energy from raw total energies = 0.150 eV per atom
data_NaTlSb2Au
_chemical_formula_sum 'Na1 Tl1 Sb2 Au1'
_cell_length_a 5.4991
_cell_length_b 5.7007
_cell_length_c 5.4991
_cell_angle_alpha 90.00
_cell_angle_beta 90.00
_cell_angle_gamma 90.00
_space_group_name_H-M_alt 'P 1'
_space_group_IT_number 1
loop_
_space_group_symop_operation_xyz
'x,y,z'
loop_
_atom_site_label
_atom_site_fract_x
_atom_site_fract_y
_atom_site_fract_z
Sb1 0.0000 0.0000 0.5000
Sb2 0.5000 0.0000 0.0000
Tl1 0.0000 0.5000 0.0000
Au1 0.0000 0.0000 0.0000
Na1 0.5000 0.5000 0.5000

=====

No. 3
# PBE Cs2NaRhO4, optimized geometry
# E = -4.76 eV per atom
# calculated volume = 395.3 Å³ per cell
# size of the total moment = 0.0 μB/cell
# formation energy from raw total energies = -0.983 eV per atom
data_Cs2NaRhO4
_chemical_formula_sum 'Cs4 Na2 Rh2 O8'
_cell_length_a 5.6227
_cell_length_b 6.9504
_cell_length_c 11.4124
_cell_angle_alpha 84.28
_cell_angle_beta 75.74
_cell_angle_gamma 66.14
_space_group_name_H-M_alt 'P 1'
_space_group_IT_number 1
loop_
_space_group_symop_operation_xyz
'x,y,z'
loop_
_atom_site_label
_atom_site_fract_x
_atom_site_fract_y
_atom_site_fract_z
Cs1 0.1772 0.0000 0.6455
Cs2 0.8228 0.0000 0.3545
Cs3 0.5728 0.5000 0.8545
Cs4 0.9272 0.5000 0.1455
Na1 0.7500 0.5000 0.5000
Na2 0.0000 0.0000 0.0000
Rh1 0.2500 0.5000 0.5000
Rh2 0.5000 0.0000 0.0000
O1 0.3466 0.8190 0.0867
O2 0.2523 0.1810 0.9133
O3 0.8344 0.8190 0.9133
O4 0.5667 0.1810 0.0867
O5 0.4034 0.6810 0.4133
O6 0.4977 0.3190 0.5867
O7 0.9156 0.6810 0.5867
O8 0.1833 0.3190 0.4133

=====

No. 4
# PBE LiBeFe, optimized geometry
# energy above the most stable polymorph in this dataset = 0.073 eV per formula unit
# E = -4.57 eV per atom
# ΔE_f = 0.1321 eV per atom
# calculated volume = 62.0 Å³ per cell
# size of the total moment = 2.2 μB/cell
data_LiBeFe
_chemical_formula_sum 'Li2 Be2 Fe2'
_cell_length_a 3.8237
_cell_length_b 3.8237
_cell_length_c 4.8959
_cell_angle_alpha 90.00
_cell_angle_beta 90.00
_cell_angle_gamma 120.00
_space_group_name_H-M_alt 'P 1'
_space_group_IT_number 1
loop_
_space_group_symop_operation_xyz
'x,y,z'
loop_
_atom_site_label
_atom_site_fract_x
_atom_site_fract_y
_atom_site_fract_z
Li1 0.3333 0.6667 0.0759
Li2 0.6667 0.3333 0.2006
Be1 0.0000 0.0000 0.8750
Be2 0.6667 0.3333 0.6849
Fe1 0.3333 0.6667 0.5831
Fe2 0.0000 0.0000 0.4365

=====

No. 5
# PBE AgRhSe2, optimized geometry
# E = -4.30 eV per atom
# calculated volume = 164.5 Å³ per cell
# size of the total moment = 0.0 μB/cell
# formation energy from raw total energies = -0.008 eV per atom
data_AgRhSe2
_chemical_formula_sum 'Ag2 Rh2 Se4'
_cell_length_a 7.6480
_cell_length_b 7.6480
_cell_length_c 6.0956
_cell_angle_alpha 51.15
_cell_angle_beta 51.15
_cell_angle_gamma 90.00
_space_group_name_H-M_alt 'P 1'
_space_group_IT_number 1
loop_
_space_group_symop_operation_xyz
'x,y,z'
loop_
_atom_site_label
_atom_site_fract_x
_atom_site_fract_y
_atom_site_fract_z
Rh1 0.7500 0.2500 0.5000
Rh2 0.2500 0.7500 0.5000
Se1 0.8180 0.3180 0.0000
Se2 0.1820 0.6820 0.0000
Se3 0.3180 0.1820 0.0000
Se4 0.6820 0.8180 0.0000
Ag1 0.7500 0.7500 0.5000
Ag2 0.2500 0.2500 0.5000

=====

No. 6
# PBE Zn2IrAu2, optimized geometry
# energy above the most stable polymorph in this dataset = 0.130 eV per formula unit
# E = -3.46 eV per atom
# ΔE_f = 0.1367 eV per atom
# calculated volume = 162.4 Å³ per cell
# size of the total moment = 1.3 μB/cell
data_Zn2IrAu2
_chemical_formula_sum 'Zn4 Ir2 Au4'
_cell_length_a 7.5178
_cell_length_b 7.5178
_cell_length_c 2.8738
_cell_angle_alpha 90.00
_cell_angle_beta 90.00
_cell_angle_gamma 90.00
_space_group_name_H-M_alt 'P 1'
_space_group_IT_number 1
loop_
_space_group_symop_operation_xyz
'x,y,z'
loop_
_atom_site_label
_atom_site_fract_x
_atom_site_fract_y
_atom_site_fract_z
Zn1 0.1664 0.6664 0.5000
Zn2 0.6664 0.8336 0.5000
Zn3 0.8336 0.3336 0.5000
Zn4 0.3336 0.1664 0.5000
Ir1 0.0000 0.0000 0.0000
Ir2 0.5000 0.5000 0.0000
Au1 0.3653 0.8653 0.0000
Au2 0.8653 0.6347 0.0000
Au3 0.6347 0.1347 0.0000
Au4 0.1347 0.3653 0.0000